Entry from the Alexandria database: crystalline Mo2PtW at its relaxed geometry (PBE).

Cell lengths 4.491, 4.491, 4.491 Å; angles 60.00, 60.00, 60.00 degrees
Positions (direct):
Mo  0.000  0.000  0.000
Mo  0.250  0.250  0.250
Pt  0.500  0.500  0.500
W  0.750  0.750  0.750

Values from the calculation:
SG: F-43m, No. 216
Energy of formation: 0.204 eV per atom
Spin magnetization: 0.0 μB per formula unit
Calculated volume: 64 Å³ per cell

***

Entry from the Alexandria database: crystalline MoPtW2 at its relaxed geometry (PBE).

Cell lengths 3.319, 3.319, 5.813 Å; angles 90.00, 90.00, 90.00 degrees
Positions (direct):
Mo  0.500  0.500  0.250
Pt  0.500  0.500  0.750
W  0.000  0.000  0.002
W  0.000  0.000  0.498

Values from the calculation:
SG: P4/mmm, No. 123
Energy of formation: 0.083 eV per atom
E above lowest polymorph: 134 meV/atom
Spin magnetization: 0.0 μB per formula unit
Calculated volume: 64 Å³ per cell

***

Entry from the Alexandria database: crystalline MoPtW2 at its relaxed geometry (PBE).

Cell lengths 2.713, 2.713, 8.685 Å; angles 90.00, 90.00, 90.00 degrees
Positions (direct):
Mo  0.000  0.000  0.509
Pt  0.500  0.500  0.751
W  0.000  0.000  0.990
W  0.500  0.500  0.249

Values from the calculation:
SG: P4mm, No. 99
Energy of formation: 0.023 eV per atom
E above lowest polymorph: 74 meV/atom
Spin magnetization: 0.0 μB per formula unit
Calculated volume: 64 Å³ per cell

***

Entry from the Alexandria database: crystalline MoPtW4 at its relaxed geometry (PBE).

Cell lengths 5.216, 5.216, 5.216 Å; angles 60.00, 60.00, 60.00 degrees
Positions (direct):
Mo  0.750  0.750  0.750
Pt  0.000  0.000  0.000
W  0.873  0.376  0.376
W  0.376  0.376  0.873
W  0.376  0.873  0.376
W  0.376  0.376  0.376

Values from the calculation:
SG: F-43m, No. 216
Energy of formation: 0.319 eV per atom
Spin magnetization: 0.0 μB per formula unit
Calculated volume: 100 Å³ per cell

***

Entry from the Alexandria database: crystalline Mo2PtW at its relaxed geometry (PBE).

Cell lengths 4.202, 2.702, 5.960 Å; angles 70.03, 90.00, 90.00 degrees
Positions (direct):
Mo  0.000  0.922  0.997
Mo  0.000  0.578  0.503
Pt  0.500  0.250  0.250
W  0.500  0.750  0.750

Values from the calculation:
SG: P2/m, No. 10
Energy of formation: -0.001 eV per atom
Spin magnetization: 0.0 μB per formula unit
Calculated volume: 64 Å³ per cell

***

Entry from the Alexandria database: crystalline MoPtW2 at its relaxed geometry (PBE).

Cell lengths 4.496, 4.496, 4.496 Å; angles 60.00, 60.00, 60.00 degrees
Positions (direct):
Mo  0.000  0.000  0.000
W  0.250  0.250  0.250
W  0.750  0.750  0.750
Pt  0.500  0.500  0.500

Values from the calculation:
SG: Fm-3m, No. 225
Energy of formation: 0.247 eV per atom
E above lowest polymorph: 298 meV/atom
Spin magnetization: 0.0 μB per formula unit
Calculated volume: 64 Å³ per cell